This record from Alexandria describes a relaxed structure of MgAl4Cd. The functional is PBE.

Structure (POSCAR):
```
MgAl4Cd
1.0
0.000 3.867 3.867
3.867 0.000 3.867
3.867 3.867 0.000
Mg Al Cd
1 4 1
Cartesian
0.000 0.000 0.000 Mg
2.898 4.837 4.837 Al
4.837 4.837 2.898 Al
4.837 2.898 4.837 Al
2.898 2.898 2.898 Al
5.801 5.801 5.801 Cd
```

Properties
As for the symmetry: No. 216. The formation energy is 99 meV/atom. The value obtained for the total magnetic moment is 0.00 μB per formula unit.

=====

This record from Alexandria describes a relaxed structure of Mg2AlCd9. The functional is PBE.

Structure (POSCAR):
```
Mg2AlCd9
1.0
4.416 0.000 0.000
0.000 4.416 0.000
0.000 0.000 13.458
Mg Al Cd
2 1 9
Cartesian
0.000 0.000 4.451 Mg
0.000 0.000 9.007 Mg
0.000 0.000 0.000 Al
2.208 2.208 0.000 Cd
2.208 2.208 4.434 Cd
2.208 2.208 9.024 Cd
2.208 0.000 2.189 Cd
2.208 0.000 6.729 Cd
2.208 0.000 11.269 Cd
0.000 2.208 2.189 Cd
0.000 2.208 6.729 Cd
0.000 2.208 11.269 Cd
```

Properties
As for the symmetry: No. 123. The formation energy is -3 meV/atom. The value obtained for the total magnetic moment is 0.00 μB per formula unit.

=====

This record from Alexandria describes a relaxed structure of Mg5AlCd. The functional is PBE.

Structure (POSCAR):
```
Mg5AlCd
1.0
8.030 -0.364 2.195
2.203 7.731 2.195
5.032 3.623 7.325
Mg Al Cd
10 2 2
Cartesian
7.431 6.712 3.508 Mg
6.035 6.337 6.148 Mg
11.239 6.729 7.170 Mg
8.338 1.863 4.026 Mg
9.857 9.089 9.229 Mg
5.408 1.901 2.485 Mg
6.928 9.127 7.688 Mg
4.026 4.261 4.543 Mg
9.231 4.653 5.566 Mg
7.834 4.278 8.206 Mg
6.749 4.069 4.026 Al
8.516 6.921 7.688 Al
0.000 0.000 0.000 Cd
2.516 1.811 3.662 Cd
```

Properties
As for the symmetry: No. 15. The formation energy is 96 meV/atom. The value obtained for the total magnetic moment is 0.00 μB per formula unit. The calculation puts the energy above the lowest structure with this stoichiometry at 47 meV/atom.

=====

This record from Alexandria describes a relaxed structure of Mg5Al4Cd. The functional is PBE.

Structure (POSCAR):
```
Mg5Al4Cd
1.0
-1.839 0.703 2.313
-2.180 -1.738 -1.206
7.382 -16.890 11.002
Mg Al Cd
5 4 1
Cartesian
-1.222 -2.321 1.728 Mg
0.225 -5.632 3.885 Mg
1.681 -8.963 6.055 Mg
3.137 -12.294 8.224 Mg
4.584 -15.605 10.381 Mg
1.504 -3.442 2.242 Al
2.962 -6.778 4.415 Al
4.419 -10.112 6.587 Al
5.877 -13.448 8.760 Al
0.000 0.000 0.000 Cd
```

Properties
As for the symmetry: No. 123. The formation energy is -16 meV/atom. The value obtained for the total magnetic moment is 0.00 μB per formula unit.

=====

This record from Alexandria describes a relaxed structure of Mg8Al3Cd3. The functional is PBE.

Structure (POSCAR):
```
Mg8Al3Cd3
1.0
4.509 -0.114 0.735
1.588 8.042 2.396
0.367 -1.036 8.469
Mg Al Cd
8 3 3
Cartesian
3.163 -0.431 6.101 Mg
3.301 7.322 5.499 Mg
3.913 5.147 2.370 Mg
2.551 1.745 9.230 Mg
5.409 5.429 6.572 Mg
1.055 1.462 5.028 Mg
5.086 3.028 8.179 Mg
1.378 3.864 3.422 Mg
2.254 -0.057 0.368 Al
1.425 6.833 3.205 Al
0.530 0.173 7.661 Al
3.232 3.446 5.800 Cd
3.888 1.585 3.151 Cd
2.576 5.306 8.449 Cd
```

Properties
As for the symmetry: No. 12. The formation energy is 92 meV/atom. The value obtained for the total magnetic moment is 0.00 μB per formula unit.

=====

This record from Alexandria describes a relaxed structure of Mg5AlCd. The functional is PBE.

Structure (POSCAR):
```
Mg5AlCd
1.0
-1.138 -3.968 2.068
2.408 -2.342 -3.168
6.244 0.493 4.381
Mg Al Cd
5 1 1
Cartesian
0.635 -3.155 -0.550 Mg
1.205 -1.844 2.279 Mg
2.977 -1.031 -0.340 Mg
3.902 -1.631 4.171 Mg
5.674 -0.818 1.552 Mg
3.122 0.247 2.190 Al
0.000 0.000 0.000 Cd
```

Properties
As for the symmetry: No. 123. The formation energy is 49 meV/atom. The value obtained for the total magnetic moment is 0.00 μB per formula unit. The calculation puts the energy above the lowest structure with this stoichiometry at 0 meV/atom.

=====

This record from Alexandria describes a relaxed structure of Mg8Al2Cd. The functional is PBE.

Structure (POSCAR):
```
Mg8Al2Cd
1.0
4.163 0.000 -1.197
-0.664 6.541 -2.310
0.127 0.716 8.283
Mg Al Cd
8 2 1
Cartesian
2.204 3.136 -0.171 Mg
1.338 1.020 4.656 Mg
0.492 1.460 1.713 Mg
-0.274 4.849 -0.952 Mg
3.134 5.797 3.063 Mg
2.288 6.237 0.120 Mg
1.422 4.121 4.946 Mg
3.900 2.408 5.727 Mg
0.590 4.443 2.053 Al
3.036 2.814 2.722 Al
2.082 0.000 -0.598 Cd
```

Properties
As for the symmetry: No. 12. The formation energy is -15 meV/atom. The value obtained for the total magnetic moment is 0.00 μB per formula unit.

=====

This record from Alexandria describes a relaxed structure of Mg3AlCd. The functional is PBE.

Structure (POSCAR):
```
Mg3AlCd
1.0
-0.889 5.070 0.814
-3.557 -0.012 -3.808
-3.703 -1.206 3.462
Mg Al Cd
3 1 1
Cartesian
-1.778 -0.006 -1.904 Mg
-1.852 -0.603 1.731 Mg
-0.445 2.535 0.407 Mg
0.000 0.000 0.000 Al
-4.075 1.926 0.234 Cd
```

Properties
As for the symmetry: No. 221. The formation energy is 324 meV/atom. The value obtained for the total magnetic moment is 0.00 μB per formula unit. The calculation puts the energy above the lowest structure with this stoichiometry at 353 meV/atom.

=====

This record from Alexandria describes a relaxed structure of Mg3AlCd. The functional is PBE.

Structure (POSCAR):
```
Mg3AlCd
1.0
-2.301 1.007 -4.572
-3.184 -4.071 0.706
-3.432 3.102 2.410
Mg Al Cd
3 1 1
Cartesian
-1.592 -2.036 0.353 Mg
-1.716 1.551 1.205 Mg
-1.151 0.503 -2.286 Mg
-4.458 0.019 -0.727 Al
0.000 0.000 0.000 Cd
```

Properties
As for the symmetry: No. 221. The formation energy is 454 meV/atom. The value obtained for the total magnetic moment is 0.00 μB per formula unit. The calculation puts the energy above the lowest structure with this stoichiometry at 483 meV/atom.

=====

This record from Alexandria describes a relaxed structure of Mg2Al2Cd. The functional is PBE.

Structure (POSCAR):
```
Mg2Al2Cd
1.0
4.225 0.000 0.000
0.000 4.225 0.000
2.113 2.113 6.333
Mg Al Cd
2 2 1
Cartesian
4.225 2.113 3.166 Mg
2.113 4.225 3.166 Mg
2.113 2.113 1.247 Al
4.225 4.225 5.086 Al
0.000 0.000 0.000 Cd
```

Properties
As for the symmetry: No. 139. The formation energy is 210 meV/atom. The value obtained for the total magnetic moment is 0.00 μB per formula unit. The calculation puts the energy above the lowest structure with this stoichiometry at 211 meV/atom.

=====

This record from Alexandria describes a relaxed structure of Mg8AlCd2. The functional is PBE.

Structure (POSCAR):
```
Mg8AlCd2
1.0
4.291 0.000 -1.233
-0.691 6.519 -2.402
0.063 0.589 8.299
Mg Al Cd
8 1 2
Cartesian
2.242 3.030 -0.282 Mg
1.360 0.932 4.732 Mg
0.480 1.376 1.669 Mg
-0.317 4.845 -1.102 Mg
3.183 5.732 2.994 Mg
2.303 6.176 -0.069 Mg
1.422 4.078 4.945 Mg
3.980 2.263 5.766 Mg
2.145 0.000 -0.617 Al
0.539 4.451 1.876 Cd
3.124 2.657 2.788 Cd
```

Properties
As for the symmetry: No. 12. The formation energy is -32 meV/atom. The value obtained for the total magnetic moment is 0.00 μB per formula unit. The calculation puts the energy above the lowest structure with this stoichiometry at 0 meV/atom.

=====

This record from Alexandria describes a relaxed structure of Mg12AlCd6. The functional is PBE.

Structure (POSCAR):
```
Mg12AlCd6
1.0
-0.086 -7.027 -3.805
7.049 3.351 -1.716
0.215 -1.718 7.802
Mg Al Cd
12 1 6
Cartesian
1.419 -3.760 2.441 Mg
4.241 -0.182 2.024 Mg
3.382 -2.853 -1.591 Mg
5.759 -1.634 -0.160 Mg
2.938 -5.212 0.257 Mg
3.796 -2.542 3.872 Mg
1.056 -2.868 5.292 Mg
5.357 -0.191 4.919 Mg
1.243 -6.843 2.135 Mg
6.122 -2.527 -3.011 Mg
1.821 -5.204 -2.638 Mg
5.935 1.449 0.146 Mg
0.000 0.000 0.000 Al
1.486 -0.755 2.951 Cd
3.901 -5.411 3.143 Cd
6.555 -2.084 2.658 Cd
5.693 -4.639 -0.670 Cd
3.278 0.017 -0.862 Cd
0.623 -3.310 -0.377 Cd
```

Properties
As for the symmetry: No. 148. The formation energy is 13 meV/atom. The value obtained for the total magnetic moment is 0.00 μB per formula unit. The calculation puts the energy above the lowest structure with this stoichiometry at 47 meV/atom.